Material: Tb8Sm3Er4
Method: DFT, GGA-PBE
State: optimized geometry

abc: 13.4276 12.7114 6.7317
angles: 90.00 120.03 90.00
Last column: nearest neighbours and their distance in Å.
Space group C2/m (No. 12)
Inequivalent atoms, fractional coordinates:
Tb1 0.0000 0.1443 0.0000  7 Tb 3.50-3.86, 2 Er 3.62, 4 Sm 3.62-3.83
Tb2 0.0000 0.2490 0.5000  3 Sm 3.17-3.36, 3 Er 3.19-3.36
Tb3 0.2272 0.0000 0.4330  3 Sm 3.20-3.30, 4 Tb 3.22-3.52, 1 Er 3.46
Tb4 0.2458 0.0000 0.9737  4 Er 3.18-3.48, 2 Tb 3.22-3.52, 1 Sm 3.24
Sm1 0.0000 0.0000 0.5000  6 Tb 3.17-3.30
Sm2 0.2500 0.2500 0.5000  4 Tb 3.20-3.36, 2 Er 3.37
Er1 0.0000 0.5000 0.0000  2 Tb 3.33, 2 Er 3.37
Er2 0.0000 0.5000 0.5000  6 Tb 3.19-3.48, 2 Er 3.37
Er3 0.2500 0.2500 0.0000  4 Tb 3.18-3.36, 2 Sm 3.37

**ΔE_f**: 5.931 eV/f.u.
**Magnetic moment**: 0.00 μB/cell